DFT (PBE-GGA) results for a relaxed Mg2FeTc crystal.

abc: 5.2259 5.2259 2.6459
angles: 98.04 98.04 117.16
Closest atoms and distances in Å follow each position.
Sites, in units of the cell vectors:
Mg: 0.0000 0.5000 0.0000  4 Mg 2.65-2.72, 2 Fe 2.76, 2 Tc 2.76
Mg: 0.5000 0.0000 0.0000  4 Mg 2.65-2.72, 2 Fe 2.76, 2 Tc 2.76
Fe: 0.0000 0.0000 0.5000  2 Fe 2.65, 2 Tc 2.72, 4 Mg 2.76
Tc: 0.5000 0.5000 0.5000  2 Tc 2.65, 2 Fe 2.72, 4 Mg 2.76

As for the energy: -5.23 eV/atom. Its symmetry is C2/m (12). The calculation puts the excess energy over the best structure of this formula in the dataset at 174.9 meV per atom. The calculation puts the energy of formation from the pure elements at 272 meV/atom. For the total magnetization, the calculation gives 2.3 Bohr magnetons per cell. As for the mass density: 5.428 g/cm3. The crystal system is monoclinic.

DFT (PBE-GGA) results for a relaxed PH4F2 crystal.

abc: 4.3934 4.3934 4.7799
angles: 113.76 113.76 78.57
Closest atoms and distances in Å follow each position.
Sites, in units of the cell vectors:
P: 0.0000 0.0000 0.0000  4 H 1.46-1.48
H: 0.1883 0.7907 0.7915  1 P 1.47
H: 0.2488 0.2488 0.1143  1 P 1.48
H: 0.7489 0.7489 0.8074  1 P 1.46
H: 0.7907 0.1883 0.7915  1 P 1.47
F: 0.2324 0.8183 0.2712  1 P 1.67
F: 0.8183 0.2324 0.2712  1 P 1.67

As for the energy: -3.75 eV/atom. Its symmetry is Cm (8). For the total magnetization, the calculation gives 1.0 Bohr magnetons per cell. As for the mass density: 1.570 g/cm3. The crystal system is monoclinic.

DFT (PBE-GGA) results for a relaxed CdPSe2 crystal.

abc: 8.0743 8.0743 8.0743
angles: 139.91 139.91 57.99
Closest atoms and distances in Å follow each position.
Sites, in units of the cell vectors:
Cd: 0.0000 0.0000 0.0000  4 Se 2.76
Cd: 0.7500 0.2500 0.5000  4 Se 2.76
P: 0.2500 0.7500 0.5000  4 Se 2.53
P: 0.5000 0.5000 0.0000  4 Se 2.53
Se: 0.1653 0.6250 0.0403  2 P 2.53, 2 Cd 2.76
Se: 0.3750 0.4153 0.5403  2 P 2.53, 2 Cd 2.76
Se: 0.5847 0.1250 0.9597  2 P 2.53, 2 Cd 2.76
Se: 0.8750 0.8347 0.4597  2 P 2.53, 2 Cd 2.76

As for the energy: -3.30 eV/atom. Its symmetry is I-42d (122). The calculation puts the excess energy over the best structure of this formula in the dataset at 58.6 meV per atom. For the total magnetization, the calculation gives 0.0 Bohr magnetons per cell. The uncorrected formation energy comes out at 0.1 eV per formula unit. As for the mass density: 4.625 g/cm3. The crystal system is tetragonal.

DFT (PBE-GGA) results for a relaxed SrCr2CdBi crystal.

abc: 5.2345 5.2345 5.7964
angles: 90.00 90.00 90.00
Closest atoms and distances in Å follow each position.
Sites, in units of the cell vectors:
Sr: 0.0000 0.0000 0.0000  4 Bi 3.70, 8 Cr 3.91
Cr: 0.0000 0.5000 0.5000  2 Cd 2.62
Cr: 0.5000 0.0000 0.5000  2 Cd 2.62
Cd: 0.5000 0.5000 0.5000  4 Cr 2.62, 2 Bi 2.90
Bi: 0.5000 0.5000 0.0000  2 Cd 2.90

As for the energy: -4.44 eV/atom. Its symmetry is P4/mmm (123). The calculation puts the energy of formation from the pure elements at 709 meV/atom. For the total magnetization, the calculation gives 9.3 Bohr magnetons per cell. As for the mass density: 5.364 g/cm3. The crystal system is tetragonal.

DFT (PBE-GGA) results for a relaxed Cs2NaSr2 crystal.

abc: 9.8438 9.8438 7.7408
angles: 90.00 90.00 90.00
Closest atoms and distances in Å follow each position.
Sites, in units of the cell vectors:
Cs: 0.1724 0.3276 0.0000  6 Sr 4.59-5.01, 1 Cs 4.80
Cs: 0.3276 0.8276 0.0000  6 Sr 4.59-5.01, 1 Cs 4.80
Cs: 0.6724 0.1724 0.0000  6 Sr 4.59-5.01, 1 Cs 4.80
Cs: 0.8276 0.6724 0.0000  6 Sr 4.59-5.01, 1 Cs 4.80
Na: 0.0000 0.0000 0.5000  4 Sr 3.75
Na: 0.5000 0.5000 0.5000  4 Sr 3.75
Sr: 0.1504 0.6504 0.5000  2 Na 3.75, 1 Sr 4.19
Sr: 0.3496 0.1504 0.5000  2 Na 3.75, 1 Sr 4.19
Sr: 0.6504 0.8496 0.5000  2 Na 3.75, 1 Sr 4.19
Sr: 0.8496 0.3496 0.5000  2 Na 3.75, 1 Sr 4.19

As for the energy: -1.07 eV/atom. Its symmetry is P4/mbm (127). The calculation puts the excess energy over the best structure of this formula in the dataset at 0.0 meV per atom. The calculation puts the energy of formation from the pure elements at 204 meV/atom. For the total magnetization, the calculation gives 0.0 Bohr magnetons per cell. As for the mass density: 2.055 g/cm3. The crystal system is tetragonal.

DFT (PBE-GGA) results for a relaxed La4PbAu5 crystal.

abc: 3.8189 3.8189 18.2464
angles: 90.00 90.00 90.00
Closest atoms and distances in Å follow each position.
Sites, in units of the cell vectors:
La: 0.0000 0.0000 0.1044  8 Au 3.23-3.30
La: 0.0000 0.0000 0.3114  8 Au 3.12-3.36, 1 Pb 3.44
La: 0.0000 0.0000 0.6886  8 Au 3.12-3.36, 1 Pb 3.44
La: 0.0000 0.0000 0.8956  8 Au 3.23-3.30
Pb: 0.0000 0.0000 0.5000  8 Au 3.29, 2 La 3.44
Au: 0.5000 0.5000 0.0000  8 La 3.30, 2 Au 3.68
Au: 0.5000 0.5000 0.2018  8 La 3.23-3.36, 1 Au 3.57
Au: 0.5000 0.5000 0.3974  4 La 3.12, 4 Pb 3.29
Au: 0.5000 0.5000 0.6026  4 La 3.12, 4 Pb 3.29
Au: 0.5000 0.5000 0.7982  8 La 3.23-3.36, 1 Au 3.57

As for the energy: -4.67 eV/atom. Its symmetry is P4/mmm (123). The calculation puts the energy of formation from the pure elements at -693 meV/atom. For the total magnetization, the calculation gives 0.0 Bohr magnetons per cell. As for the mass density: 10.906 g/cm3. The crystal system is tetragonal.

DFT (PBE-GGA) results for a relaxed MgBeB3 crystal.

abc: 3.7066 3.7066 3.7066
angles: 90.00 90.00 90.00
Closest atoms and distances in Å follow each position.
Sites, in units of the cell vectors:
Mg: 0.0000 0.0000 0.0000  12 B 2.62
Be: 0.5000 0.5000 0.5000  6 B 1.85
B: 0.0000 0.5000 0.5000  2 Be 1.85
B: 0.5000 0.0000 0.5000  2 Be 1.85
B: 0.5000 0.5000 0.0000  2 Be 1.85

As for the energy: -3.80 eV/atom. Its symmetry is Pm-3m (221). The calculation puts the excess energy over the best structure of this formula in the dataset at 1159.4 meV per atom. The calculation puts the energy of formation from the pure elements at 1273 meV/atom. For the total magnetization, the calculation gives 0.0 Bohr magnetons per cell. As for the mass density: 2.144 g/cm3. The crystal system is cubic.

DFT (PBE-GGA) results for a relaxed SbAsRh2S crystal.

abc: 4.8809 4.8809 4.9657
angles: 90.00 90.00 90.00
Closest atoms and distances in Å follow each position.
Sites, in units of the cell vectors:
Sb: 0.0000 0.0000 0.0000  4 Rh 2.44, 2 S 2.48
As: 0.5000 0.5000 0.5000  4 S 3.45, 8 Rh 3.48
Rh: 0.0000 0.5000 0.0000  2 Sb 2.44
Rh: 0.5000 0.0000 0.0000  2 Sb 2.44
S: 0.0000 0.0000 0.5000  2 Sb 2.48

As for the energy: -4.44 eV/atom. Its symmetry is P4/mmm (123). For the total magnetization, the calculation gives 0.0 Bohr magnetons per cell. The uncorrected formation energy comes out at 5.4 eV per formula unit. As for the mass density: 6.100 g/cm3. The crystal system is tetragonal.

DFT (PBE-GGA) results for a relaxed AlReMo2 crystal.

abc: 2.8706 2.8706 7.4794
angles: 90.00 90.00 90.00
Closest atoms and distances in Å follow each position.
Sites, in units of the cell vectors:
Al: 0.0000 0.0000 0.0000  8 Mo 2.78, 4 Al 2.87
Re: 0.0000 0.0000 0.5000  8 Mo 2.74, 4 Re 2.87
Mo: 0.5000 0.5000 0.2535  4 Re 2.74, 4 Al 2.78, 4 Mo 2.87
Mo: 0.5000 0.5000 0.7465  4 Re 2.74, 4 Al 2.78, 4 Mo 2.87

As for the energy: -9.46 eV/atom. Its symmetry is P4/mmm (123). The calculation puts the energy of formation from the pure elements at 0 meV/atom. For the total magnetization, the calculation gives 0.0 Bohr magnetons per cell. As for the mass density: 10.913 g/cm3. The crystal system is tetragonal.

DFT (PBE-GGA) results for a relaxed BeSiRh2 crystal.

abc: 3.9988 3.9988 4.8393
angles: 102.25 102.25 41.80
Closest atoms and distances in Å follow each position.
Sites, in units of the cell vectors:
Be: 0.0000 0.0000 0.0000  6 Rh 2.41-2.45
Si: 0.5000 0.5000 0.5000  6 Rh 2.44-2.47
Rh: 0.2539 0.2539 0.7556  3 Be 2.41-2.45, 3 Si 2.44-2.47
Rh: 0.7461 0.7461 0.2444  3 Be 2.41-2.45, 3 Si 2.44-2.47

As for the energy: -6.45 eV/atom. Its symmetry is C2/m (12). The calculation puts the excess energy over the best structure of this formula in the dataset at 333.0 meV per atom. For the total magnetization, the calculation gives 0.0 Bohr magnetons per cell. The uncorrected formation energy comes out at -2.0 eV per formula unit. As for the mass density: 8.031 g/cm3. The crystal system is monoclinic.

DFT (PBE-GGA) results for a relaxed Ti2Hg2Br crystal.

abc: 6.7669 6.7669 4.4996
angles: 90.00 90.00 90.00
Closest atoms and distances in Å follow each position.
Sites, in units of the cell vectors:
Ti: 0.1485 0.3515 0.0000  2 Br 2.58, 1 Ti 2.84
Ti: 0.3515 0.8515 0.0000  2 Br 2.58, 1 Ti 2.84
Ti: 0.6485 0.1485 0.0000  2 Br 2.58, 1 Ti 2.84
Ti: 0.8515 0.6485 0.0000  2 Br 2.58, 1 Ti 2.84
Hg: 0.1564 0.6564 0.5000  6 Ti 2.92-3.05, 1 Hg 2.99
Hg: 0.3436 0.1564 0.5000  6 Ti 2.92-3.05, 1 Hg 2.99
Hg: 0.6564 0.8436 0.5000  6 Ti 2.92-3.05, 1 Hg 2.99
Hg: 0.8436 0.3436 0.5000  6 Ti 2.92-3.05, 1 Hg 2.99
Br: 0.0000 0.0000 0.0000  4 Ti 2.58
Br: 0.5000 0.5000 0.0000  4 Ti 2.58

As for the energy: -3.68 eV/atom. Its symmetry is P4/mbm (127). For the total magnetization, the calculation gives 0.0 Bohr magnetons per cell. The uncorrected formation energy comes out at -0.3 eV per formula unit. As for the mass density: 9.298 g/cm3. The crystal system is tetragonal.

DFT (PBE-GGA) results for a relaxed Os2RuPb crystal.

abc: 2.8136 3.7464 6.5486
angles: 90.00 90.00 90.00
Closest atoms and distances in Å follow each position.
Sites, in units of the cell vectors:
Os: 0.0000 0.0000 0.1989  3 Os 2.61-2.81, 4 Ru 2.68
Os: 0.0000 0.0000 0.8011  3 Os 2.61-2.81, 4 Ru 2.68
Ru: 0.5000 0.5000 0.0000  8 Os 2.68, 2 Ru 2.81
Pb: 0.5000 0.5000 0.5000  2 Pb 2.81, 8 Os 3.06

As for the energy: -8.07 eV/atom. Its symmetry is Pmmm (47). The calculation puts the energy of formation from the pure elements at 791 meV/atom. For the total magnetization, the calculation gives 0.0 Bohr magnetons per cell. As for the mass density: 16.568 g/cm3. The crystal system is orthorhombic.